11
Lattice="3.543 -3.682 0.000 3.543 3.682 0.000 -1.169 0.000 6.431" Properties=species:S:1:pos:R:3 comment="Ir7Os2Pt2 | Alexandria via LeMat-Bulk | PBE | optimized geometry" formation_energy_kj_per_mol_fu=351 m_tot_mub_per_fu=0.0 pbc="T T T"
Ir 0.000 0.000 0.000
Ir 0.999 1.412 5.156
Ir 0.650 0.000 2.761
Ir 0.999 -1.412 5.156
Ir 4.918 1.412 1.275
Ir 5.267 0.000 3.670
Ir 4.918 -1.412 1.275
Os 2.958 1.386 3.215
Os 2.958 -1.386 3.215
Pt 2.659 0.000 0.991
Pt 3.258 0.000 5.439

10
Lattice="4.240 0.000 0.000 0.000 4.240 0.000 0.000 0.000 10.345" Properties=species:S:1:pos:R:3 comment="Ca2AlGa3Ir4 | Alexandria via LeMat-Bulk | PBE | optimized geometry" formation_energy_kj_per_mol_fu=-605 m_tot_mub_per_fu=0.0 pbc="T T T"
Ca 0.000 2.120 2.451
Ca 2.120 0.000 7.894
Al 0.000 0.000 5.172
Ga 0.000 2.120 9.015
Ga 2.120 0.000 1.330
Ga 2.120 2.120 5.172
Ir 0.000 0.000 0.000
Ir 0.000 2.120 6.518
Ir 2.120 0.000 3.826
Ir 2.120 2.120 0.000

4
Lattice="0.000 2.688 2.688 2.688 0.000 2.688 2.688 2.688 0.000" Properties=species:S:1:pos:R:3 comment="CrB2Ir | Alexandria via LeMat-Bulk | PBE | optimized geometry" relative_energy_ev_per_atom=0.000 formation_energy_kj_per_mol_fu=40 m_tot_mub_per_fu=2.5 pbc="T T T"
Cr 0.000 0.000 0.000
B 1.344 1.344 1.344
B 4.032 4.032 4.032
Ir 2.688 2.688 2.688

Fermi-level density of states
In order: 12.9; 4.1; 2.7
Unit: states/eV per cell